# 1
Here is a relaxed NiIrRu3 crystal from Alexandria. Energies are from GGA-PBEsol.

Cell lengths 4.256, 4.256, 4.256 Å; angles 90.00, 90.00, 90.00 degrees
Space group Pm-3m (No. 221)
Inequivalent atoms, fractional coordinates:
Ni  0.000  0.000  0.000
Ir  0.500  0.500  0.500
Ru  0.000  0.000  0.500

Values from the calculation:
**Crystal system**: cubic
**ΔE_f**: 1750.6 meV per atom
**Density of states at the Fermi level**: 8.4 states/eV/cell

=====

# 2
Here is a relaxed Ni2IrRu crystal from Alexandria. Energies are from GGA-PBEsol.

Cell lengths 2.637, 3.640, 5.064 Å; angles 90.00, 90.00, 90.00 degrees
Space group Pmm2 (No. 25)
Inequivalent atoms, fractional coordinates:
Ni  0.000  0.000  0.000
Ni  0.500  0.500  0.232
Ir  0.500  0.500  0.739
Ru  0.000  0.000  0.488

Values from the calculation:
**Energy above the lowest structure with this stoichiometry**: 20.0 meV/atom
**Crystal system**: orthorhombic
**ΔE_f**: 15.8 meV per atom
**Density of states at the Fermi level**: 4.5 states/eV/cell

=====

# 3
Here is a relaxed Ni2IrRu crystal from Alexandria. Energies are from GGA-PBEsol.

Cell lengths 3.598, 3.598, 7.446 Å; angles 90.00, 90.00, 90.00 degrees
Space group I-4m2 (No. 119)
Inequivalent atoms, fractional coordinates:
Ni  0.000  0.000  0.000
Ni  0.000  0.500  0.250
Ir  0.000  0.500  0.750
Ru  0.000  0.000  0.500

Values from the calculation:
**Energy above the lowest structure with this stoichiometry**: 0.0 meV/atom
**Crystal system**: tetragonal
**ΔE_f**: -4.2 meV per atom
**Density of states at the Fermi level**: 7.5 states/eV/cell